No. 1
A plane-wave DFT calculation with PBE was carried out for crystalline Na3MnH8 at its relaxed geometry.

Computed properties:
Energy above the most stable polymorph in this dataset (meV/atom): 32
Calculated volume (Å³ per cell): 113.4
Raw total energy (eV per atom): -3.3138

Cell lengths 4.840, 4.840, 4.840 Å; angles 90.00, 90.00, 90.00 degrees
Space group Pm-3m (No. 221)
One atom of each set of equivalent atoms:
Na 0.000 0.000 0.500 x3
Mn 0.500 0.500 0.500 x1
H 0.307 0.307 0.307 x8


No. 2
A plane-wave DFT calculation with PBE was carried out for crystalline Na2H4Pd3 at its relaxed geometry.

Computed properties:
Energy above the most stable polymorph in this dataset (meV/atom): 0
Calculated volume (Å³ per cell): 1005.5
Raw total energy (eV per atom): -3.6791

Cell lengths 5.190, 9.542, 20.304 Å; angles 90.00, 90.00, 90.00 degrees
Space group Fddd (No. 70, origin choice 2)
One atom of each set of equivalent atoms:
Na 0.125 0.125 0.043 x16
H 0.103 0.270 0.567 x32
Pd 0.125 0.125 0.356 x16
Pd 0.125 0.125 0.625 x8


No. 3
A plane-wave DFT calculation with PBE was carried out for crystalline CdTe2Ir at its relaxed geometry.

Computed properties:
Raw formation energy (eV per atom): 0.27
Calculated volume (Å³ per cell): 99.9
Raw total energy (eV per atom): -3.7443

Cell lengths 3.274, 3.274, 9.322 Å; angles 90.00, 90.00, 90.00 degrees
Space group P4/mmm (No. 123)
One atom of each set of equivalent atoms:
Cd 0.000 0.000 0.000 x1
Te 0.500 0.500 0.318 x2
Ir 0.000 0.000 0.500 x1